[1]
# Ta5Mn (PBE-GGA, optimized geometry)
# Relative energy among the computed polymorphs   4.70 eV/f.u.
# Energy of formation from the pure elements   0.73 eV per atom
# Energy   -10.6710 eV/atom
# V   20.459 Å³ per atom
# Theoretical density   12.982 g/cm3
# Spin magnetization   3.5 Bohr magnetons per cell
data_Ta5Mn
_space_group_name_H-M_alt 'P 6/m m m'
_space_group_IT_number 191
_space_group_name_Hall '-P 6 2'
_cell_length_a 5.6010
_cell_length_b 5.6010
_cell_length_c 4.5183
_cell_angle_alpha 90.00
_cell_angle_beta 90.00
_cell_angle_gamma 120.00
loop_
_atom_site_label
_atom_site_type_symbol
_atom_site_fract_x
_atom_site_fract_y
_atom_site_fract_z
Ta1 Ta 0.0000 0.5000 0.0000
Ta2 Ta 0.3333 0.6667 0.5000
Mn1 Mn 0.0000 0.0000 0.5000



[2]
# Ta5Mn3 (PBE-GGA, optimized geometry)
# Relative energy among the computed polymorphs   1.38 eV/f.u.
# Energy of formation from the pure elements   -0.01 eV per atom
# Energy   -10.8560 eV/atom
# V   15.635 Å³ per atom
# Theoretical density   14.199 g/cm3
# Spin magnetization   0.0 Bohr magnetons per cell
data_Ta5Mn3
_space_group_name_H-M_alt 'P 63/m c m'
_space_group_IT_number 193
_space_group_name_Hall '-P 6c 2'
_cell_length_a 7.4022
_cell_length_b 7.4022
_cell_length_c 5.2720
_cell_angle_alpha 90.00
_cell_angle_beta 90.00
_cell_angle_gamma 120.00
loop_
_atom_site_label
_atom_site_type_symbol
_atom_site_fract_x
_atom_site_fract_y
_atom_site_fract_z
Ta1 Ta 0.0000 0.2382 0.2500
Ta2 Ta 0.3333 0.6667 0.0000
Mn1 Mn 0.0000 0.4014 0.7500



[3]
# Ta3Mn (PBE-GGA, optimized geometry)
# Energy of formation from the pure elements   0.49 eV per atom
# Energy   -10.6920 eV/atom
# V   17.597 Å³ per atom
# Theoretical density   14.102 g/cm3
# Spin magnetization   0.0 Bohr magnetons per cell
data_Ta3Mn
_space_group_name_H-M_alt 'P m m 2'
_space_group_IT_number 25
_space_group_name_Hall 'P 2 -2'
_cell_length_a 2.891
_cell_length_b 2.978
_cell_length_c 8.176
_cell_angle_alpha 90.00
_cell_angle_beta 90.00
_cell_angle_gamma 90.00
loop_
_atom_site_label
_atom_site_type_symbol
_atom_site_fract_x
_atom_site_fract_y
_atom_site_fract_z
Ta1 Ta 0.000 0.000 0.000
Ta2 Ta 0.000 0.500 0.310
Ta3 Ta 0.500 0.500 0.728
Mn1 Mn 0.500 0.000 0.489



[4]
# Ta2Mn3 (PBE-GGA, optimized geometry)
# Relative energy among the computed polymorphs   1.55 eV/f.u.
# Energy of formation from the pure elements   0.33 eV per atom
# Energy   -9.9083 eV/atom
# V   14.477 Å³ per atom
# Theoretical density   12.083 g/cm3
# Spin magnetization   7.3 Bohr magnetons per cell
data_Ta2Mn3
_space_group_name_H-M_alt 'R -3 m'
_space_group_IT_number 166
_space_group_name_Hall '-R 3 2"'
_cell_length_a 2.9144
_cell_length_b 2.9144
_cell_length_c 29.5223
_cell_angle_alpha 90.00
_cell_angle_beta 90.00
_cell_angle_gamma 120.00
loop_
_atom_site_label
_atom_site_type_symbol
_atom_site_fract_x
_atom_site_fract_y
_atom_site_fract_z
Ta1 Ta 0.0000 0.0000 0.0995
Mn1 Mn 0.0000 0.0000 0.3039
Mn2 Mn 0.0000 0.0000 0.5000



[5]
# Ta4Mn (PBE-GGA, optimized geometry)
# Relative energy among the computed polymorphs   4.52 eV/f.u.
# Energy of formation from the pure elements   0.85 eV per atom
# Energy   -10.4679 eV/atom
# V   19.111 Å³ per atom
# Theoretical density   13.533 g/cm3
# Spin magnetization   0.0 Bohr magnetons per cell
data_Ta4Mn
_space_group_name_H-M_alt 'P m -3 m'
_space_group_IT_number 221
_space_group_name_Hall '-P 4 2 3'
_cell_length_a 4.572
_cell_length_b 4.572
_cell_length_c 4.572
_cell_angle_alpha 90.00
_cell_angle_beta 90.00
_cell_angle_gamma 90.00
loop_
_atom_site_label
_atom_site_type_symbol
_atom_site_fract_x
_atom_site_fract_y
_atom_site_fract_z
Ta1 Ta 0.000 0.000 0.000
Ta2 Ta 0.000 0.500 0.500
Mn1 Mn 0.500 0.500 0.500



[6]
# TaMn3 (PBE-GGA, optimized geometry)
# Energy of formation from the pure elements   0.11 eV per atom
# Energy   -9.7342 eV/atom
# V   12.804 Å³ per atom
# Theoretical density   11.210 g/cm3
# Spin magnetization   0.0 Bohr magnetons per cell
data_TaMn3
_space_group_name_H-M_alt 'P n m a'
_space_group_IT_number 62
_space_group_name_Hall '-P 2ac 2n'
_cell_length_a 4.908
_cell_length_b 8.372
_cell_length_c 4.985
_cell_angle_alpha 90.00
_cell_angle_beta 90.00
_cell_angle_gamma 90.00
loop_
_atom_site_label
_atom_site_type_symbol
_atom_site_fract_x
_atom_site_fract_y
_atom_site_fract_z
Ta1 Ta 0.010 0.250 0.115
Mn1 Mn 0.045 0.250 0.623
Mn2 Mn 0.208 0.523 0.383



[7]
# TaMn2 (PBE-GGA, optimized geometry)
# Energy of formation from the pure elements   -0.22 eV per atom
# Energy   -10.2793 eV/atom
# V   13.249 Å³ per atom
# Theoretical density   12.150 g/cm3
# Spin magnetization   4.7 Bohr magnetons per cell
data_TaMn2
_space_group_name_H-M_alt 'P 63/m m c'
_space_group_IT_number 194
_space_group_name_Hall '-P 6c 2c'
_cell_length_a 4.8296
_cell_length_b 4.8296
_cell_length_c 15.7410
_cell_angle_alpha 90.00
_cell_angle_beta 90.00
_cell_angle_gamma 120.00
loop_
_atom_site_label
_atom_site_type_symbol
_atom_site_fract_x
_atom_site_fract_y
_atom_site_fract_z
Ta1 Ta 0.0000 0.0000 0.0930
Ta2 Ta 0.3333 0.6667 0.1553
Mn1 Mn 0.0000 0.5000 0.0000
Mn2 Mn 0.1611 0.3222 0.7500
Mn3 Mn 0.3333 0.6667 0.6277



[8]
# TaMn2Tc2 (PBE-GGA, optimized geometry)
# Relative energy among the computed polymorphs   0.55 eV/f.u.
# Energy of formation from the pure elements   0.19 eV per atom
# Energy   -9.9961 eV/atom
# V   14.744 Å³ per atom
# Theoretical density   10.966 g/cm3
# Spin magnetization   0.0 Bohr magnetons per cell
data_TaMn2Tc2
_space_group_name_H-M_alt 'I 4/m m m'
_space_group_IT_number 139
_space_group_name_Hall '-I 4 2'
_cell_length_a 3.881
_cell_length_b 3.881
_cell_length_c 9.788
_cell_angle_alpha 90.00
_cell_angle_beta 90.00
_cell_angle_gamma 90.00
loop_
_atom_site_label
_atom_site_type_symbol
_atom_site_fract_x
_atom_site_fract_y
_atom_site_fract_z
Ta1 Ta 0.000 0.000 0.000
Mn1 Mn 0.000 0.000 0.397
Tc1 Tc 0.000 0.500 0.250